(1)
A relaxed KBaRh4 crystal, computed with PBE.

* D(E_F): 2.439 states/eV per atom
* volume: 20.3 Å³/atom
* space group: No. 216
* formation energy: 228 meV per atom

a b c (Å): 5.565 5.565 5.565
angles (deg): 60.00 60.00 60.00
Positions (direct):
K: 0.000 0.000 0.000
Ba: 0.250 0.250 0.250
Rh: 0.125 0.625 0.625
Rh: 0.625 0.125 0.625
Rh: 0.625 0.625 0.125
Rh: 0.625 0.625 0.625

=====

(2)
A relaxed K2BaRh crystal, computed with PBE.

* D(E_F): 0.875 states/eV per atom
* volume: 34.7 Å³/atom
* space group: No. 225
* formation energy: 579 meV per atom

a b c (Å): 5.812 5.812 5.812
angles (deg): 60.00 60.00 60.00
Positions (direct):
K: 0.250 0.250 0.250
K: 0.750 0.750 0.750
Ba: 0.000 0.000 0.000
Rh: 0.500 0.500 0.500

=====

Spin magnetization (μB/atom)
0.24 0.00